# 1
5
Lattice="-2.094 2.094 11.917 2.094 -2.094 11.917 2.094 2.094 -11.917" Properties=species:S:1:pos:R:3 comment="PBE Cs2Cd2Ge, relaxed" e_above_lowest_polymorph_ev_per_atom=0.2285 e_form_ev_per_atom=0.1816 sg=I4/mmm pbc="T T T"
Cs 0.000 0.000 2.335
Cs 0.000 0.000 21.499
Cd 2.094 0.000 5.958
Cd 0.000 2.094 5.958
Ge 0.000 0.000 11.917

# 2
6
Lattice="6.230 -2.408 0.000 6.230 2.408 0.000 -1.259 0.000 7.707" Properties=species:S:1:pos:R:3 comment="PBE CsCdGe, relaxed" e_above_lowest_polymorph_ev_per_atom=0.0000 e_form_ev_per_atom=-0.0605 sg=C2/m pbc="T T T"
Cs 0.972 0.000 2.567
Cs 10.228 0.000 5.140
Cd 1.263 0.000 6.811
Cd 9.938 0.000 0.896
Ge 5.027 0.000 0.489
Ge 6.174 0.000 7.219

# 3
11
Lattice="11.751 0.000 0.000 -5.876 10.177 0.000 0.000 0.000 4.889" Properties=species:S:1:pos:R:3 comment="PBE Cs5Cd3Ge3, relaxed" e_form_ev_per_atom=0.0049 sg=P-62m pbc="T T T"
Cs -4.287 7.426 0.000
Cs 1.588 2.751 0.000
Cs 0.000 6.785 0.000
Cs 5.876 3.392 0.000
Cs 8.575 0.000 0.000
Cd -1.867 3.233 2.444
Cd 3.733 0.000 2.444
Cd 4.009 6.944 2.444
Ge -2.270 3.931 0.000
Ge 4.539 0.000 0.000
Ge 3.606 6.246 0.000

# 4
5
Lattice="5.658 0.000 0.000 0.000 5.658 0.000 0.000 0.000 5.658" Properties=species:S:1:pos:R:3 comment="PBE CsCd3Ge, relaxed" e_above_lowest_polymorph_ev_per_atom=0.1721 e_form_ev_per_atom=0.1430 sg=Pm-3m pbc="T T T"
Cs 0.000 0.000 0.000
Cd 0.000 2.829 2.829
Cd 2.829 0.000 2.829
Cd 2.829 2.829 0.000
Ge 2.829 2.829 2.829

# 5
16
Lattice="6.056 0.000 0.000 -0.064 6.951 0.000 -2.601 -0.050 13.763" Properties=species:S:1:pos:R:3 comment="PBE CsCd2Ge, relaxed" e_form_ev_per_atom=-0.0158 sg=P-1 pbc="T T T"
Cs 0.703 6.938 3.234
Cs -0.517 3.443 10.119
Cs 3.908 3.458 3.644
Cs 2.688 -0.037 10.528
Cd -0.681 5.581 6.807
Cd -1.946 4.752 13.659
Cd 2.179 2.278 0.269
Cd 0.910 1.151 7.190
Cd 2.481 5.750 6.573
Cd 1.212 4.623 13.494
Cd 5.337 2.149 0.104
Cd 4.072 1.320 6.955
Ge 0.884 3.577 5.823
Ge -0.403 6.760 12.675
Ge 3.794 0.141 1.088
Ge 2.507 3.324 7.940

# 6
10
Lattice="9.225 0.000 0.000 0.000 9.225 0.000 0.000 0.000 5.361" Properties=species:S:1:pos:R:3 comment="PBE Cs2CdGe2, relaxed" e_form_ev_per_atom=0.0628 sg=P4/mbm pbc="T T T"
Cs 1.883 2.729 0.000
Cs 2.729 7.342 0.000
Cs 6.495 1.883 0.000
Cs 7.342 6.495 0.000
Cd 0.000 0.000 2.681
Cd 4.612 4.612 2.681
Ge 0.803 5.415 2.681
Ge 3.810 0.803 2.681
Ge 5.415 8.422 2.681
Ge 8.422 3.810 2.681

# 7
3
Lattice="4.662 0.000 0.000 -2.331 4.038 0.000 0.000 0.000 6.079" Properties=species:S:1:pos:R:3 comment="PBE CsCdGe, relaxed" e_above_lowest_polymorph_ev_per_atom=0.0638 e_form_ev_per_atom=0.0033 sg=P-6m2 pbc="T T T"
Cs 0.000 0.000 0.000
Cd 2.331 1.346 3.039
Ge 0.000 2.692 3.039

# 8
4
Lattice="2.468 1.425 6.813 -2.468 1.425 6.813 0.000 -2.850 6.813" Properties=species:S:1:pos:R:3 comment="PBE CsCd2Ge, relaxed" e_form_ev_per_atom=-0.0009 sg=R-3m pbc="T T T"
Cs 0.000 0.000 0.000
Cd 0.000 0.000 4.010
Cd 0.000 0.000 16.428
Ge 0.000 0.000 10.219

# 9
5
Lattice="-2.423 2.423 6.133 2.423 -2.423 6.133 2.423 2.423 -6.133" Properties=species:S:1:pos:R:3 comment="PBE CsCd2Ge2, relaxed" e_above_lowest_polymorph_ev_per_atom=0.1025 e_form_ev_per_atom=0.0703 sg=I4/mmm pbc="T T T"
Cs 0.000 0.000 0.000
Cd 0.000 0.000 4.595
Cd 0.000 0.000 7.672
Ge 2.423 0.000 3.067
Ge 0.000 2.423 3.067

# 10
5
Lattice="4.733 0.000 0.000 0.000 4.733 0.000 0.000 0.000 6.448" Properties=species:S:1:pos:R:3 comment="PBE CsCdGeH2, relaxed" final_energy_ev_per_atom=-1.858 sg=P4/mmm pbc="T T T"
Cs 0.000 0.000 0.000
Cd 2.367 2.367 0.000
Ge 0.000 0.000 3.224
H 0.000 2.367 3.224
H 2.367 0.000 3.224

# 11
10
Lattice="0.000 6.016 6.016 6.016 0.000 6.016 6.016 6.016 0.000" Properties=species:S:1:pos:R:3 comment="PBE Cs2CdGeI6, relaxed" sg=Fm-3m e_form_raw_mev_per_atom=-871 pbc="T T T"
Cs 3.008 3.008 3.008
Cs 9.024 9.024 9.024
Cd 0.000 0.000 0.000
Ge 6.016 6.016 6.016
I 6.016 6.016 3.022
I 6.016 3.022 6.016
I 9.009 6.016 6.016
I 3.022 6.016 6.016
I 6.016 9.009 6.016
I 6.016 6.016 9.009

# 12
5
Lattice="5.434 0.000 0.000 0.000 5.434 0.000 0.000 0.000 4.751" Properties=species:S:1:pos:R:3 comment="PBE CsCd2GeIr, relaxed" e_form_ev_per_atom=-0.1434 sg=P4/mmm pbc="T T T"
Cs 0.000 0.000 0.000
Cd 0.000 2.717 2.376
Cd 2.717 0.000 2.376
Ge 2.717 2.717 0.000
Ir 2.717 2.717 2.376

# 13
5
Lattice="5.262 0.000 0.000 0.000 5.262 0.000 0.000 0.000 5.288" Properties=species:S:1:pos:R:3 comment="PBE CsCdGe2Ir, relaxed" e_form_ev_per_atom=1.0538 sg=P4/mmm pbc="T T T"
Cs 0.000 0.000 0.000
Cd 2.631 2.631 2.644
Ge 0.000 2.631 2.644
Ge 2.631 0.000 2.644
Ir 2.631 2.631 0.000

# 14
5
Lattice="5.656 0.000 0.000 0.000 5.656 0.000 0.000 0.000 6.327" Properties=species:S:1:pos:R:3 comment="PBE CsKCd2Ge, relaxed" e_form_ev_per_atom=0.0806 sg=P4/mmm pbc="T T T"
Cs 0.000 0.000 0.000
K 2.828 2.828 0.000
Cd 0.000 2.828 3.164
Cd 2.828 0.000 3.164
Ge 2.828 2.828 3.164

# 15
5
Lattice="6.748 0.000 0.000 0.000 6.748 0.000 0.000 0.000 5.319" Properties=species:S:1:pos:R:3 comment="PBE CsK2CdGe, relaxed" e_form_ev_per_atom=0.0414 sg=P4/mmm pbc="T T T"
Cs 0.000 0.000 0.000
K 0.000 3.374 2.660
K 3.374 0.000 2.660
Cd 3.374 3.374 0.000
Ge 3.374 3.374 2.660

# 16
5
Lattice="5.865 0.000 0.000 0.000 5.865 0.000 0.000 0.000 5.476" Properties=species:S:1:pos:R:3 comment="PBE CsNa2CdGe, relaxed" e_form_ev_per_atom=-0.0228 sg=P4/mmm pbc="T T T"
Cs 0.000 0.000 0.000
Na 0.000 2.933 2.738
Na 2.933 0.000 2.738
Cd 2.933 2.933 0.000
Ge 2.933 2.933 2.738

# 17
5
Lattice="5.429 0.000 0.000 0.000 5.429 0.000 0.000 0.000 4.789" Properties=species:S:1:pos:R:3 comment="PBE CsCd2GeOs, relaxed" e_form_ev_per_atom=0.0970 sg=P4/mmm pbc="T T T"
Cs 0.000 0.000 0.000
Cd 0.000 2.715 2.394
Cd 2.715 0.000 2.394
Ge 2.715 2.715 0.000
Os 2.715 2.715 2.394

# 18
5
Lattice="5.423 0.000 0.000 0.000 5.423 0.000 0.000 0.000 4.913" Properties=species:S:1:pos:R:3 comment="PBE CsCd2GePt, relaxed" e_form_ev_per_atom=-0.1535 sg=P4/mmm pbc="T T T"
Cs 0.000 0.000 0.000
Cd 0.000 2.711 2.457
Cd 2.711 0.000 2.457
Ge 2.711 2.711 0.000
Pt 2.711 2.711 2.457

# 19
4
Lattice="3.871 -2.236 0.000 3.871 2.236 0.000 -2.592 0.000 7.024" Properties=species:S:1:pos:R:3 comment="PBE CsCdGePt, relaxed" e_form_ev_per_atom=-0.2440 sg=Cm pbc="T T T"
Cs 0.000 0.000 0.000
Cd 0.006 0.000 4.003
Ge 2.586 0.000 2.707
Pt 5.167 0.000 3.015

# 20
5
Lattice="7.146 0.000 0.000 0.000 7.146 0.000 0.000 0.000 5.290" Properties=species:S:1:pos:R:3 comment="PBE CsRb2CdGe, relaxed" e_form_ev_per_atom=0.0802 sg=P4/mmm pbc="T T T"
Cs 0.000 0.000 0.000
Rb 0.000 3.573 2.645
Rb 3.573 0.000 2.645
Cd 3.573 3.573 0.000
Ge 3.573 3.573 2.645